DFT (GGA-PBE) results for ZnTc2N after structural relaxation.

Calculated values
DFT total energy ... -28.9 eV/cell
Total moment ... 0.000 μB per atom
Energy above the most stable polymorph in this dataset ... 103 meV per atom
ΔE_f (raw) ... 0.350 eV/atom

a b c (Å): 2.783 2.783 8.047
angles (deg): 80.04 80.04 60.00
Fractional coordinates of all 4 atoms:
Zn (0.000, 0.000, 0.000)
Tc (0.108, 0.108, 0.677)
Tc (0.892, 0.892, 0.323)
N (0.500, 0.500, 0.500)